# 1
Computed, not measured: a relaxed structure of HIrSe2N at the PBEsol level of DFT.

Properties
Total DFT energy (no corrections) (hartree per atom): -0.1786

Unit cell a=4.653 b=4.653 c=2.744 alpha=90.00 beta=90.00 gamma=90.00
Space group P4/mmm (No. 123)
Unique sites:
H (0.000, 0.000, 0.000) (multiplicity 1)
Ir (0.500, 0.500, 0.500) (multiplicity 1)
Se (0.000, 0.500, 0.000) (multiplicity 2)
N (0.000, 0.000, 0.500) (multiplicity 1)



# 2
Computed, not measured: a relaxed structure of NaSrTi2Tc at the PBEsol level of DFT.

Properties
Formation enthalpy at 0 K (kcal/mol of atoms): 49.75

Unit cell a=4.860 b=4.860 c=4.723 alpha=90.00 beta=90.00 gamma=90.00
Space group P4/mmm (No. 123)
Unique sites:
Na (0.000, 0.000, 0.000) (multiplicity 1)
Sr (0.500, 0.500, 0.500) (multiplicity 1)
Ti (0.000, 0.500, 0.500) (multiplicity 2)
Tc (0.500, 0.500, 0.000) (multiplicity 1)



# 3
Computed, not measured: a relaxed structure of LiZrPb at the PBEsol level of DFT.

Properties
Formation enthalpy at 0 K (kcal/mol of atoms): 0.88

Unit cell a=3.422 b=5.269 c=15.204 alpha=90.00 beta=90.00 gamma=90.00
Space group Fmm2 (No. 42)
Unique sites:
Li (0.000, 0.000, 0.000) (multiplicity 4)
Zr (0.000, 0.000, 0.326) (multiplicity 4)
Pb (0.000, 0.000, 0.658) (multiplicity 4)



# 4
Computed, not measured: a relaxed structure of TlSbOs at the PBEsol level of DFT.

Properties
Raw formation energy (eV/atom): 0.723

Unit cell a=3.198 b=5.225 c=15.401 alpha=90.00 beta=90.00 gamma=90.00
Space group Fmm2 (No. 42)
Unique sites:
Tl (0.000, 0.000, 0.000) (multiplicity 4)
Sb (0.000, 0.000, 0.290) (multiplicity 4)
Os (0.000, 0.000, 0.655) (multiplicity 4)



# 5
Computed, not measured: a relaxed structure of AuBrO2 at the PBEsol level of DFT.

Properties
Raw formation energy (eV/atom): 1.067

Unit cell a=5.839 b=5.839 c=5.839 alpha=90.00 beta=90.00 gamma=90.00
Space group Fm-3m (No. 225)
Unique sites:
Au (0.000, 0.000, 0.000) (multiplicity 4)
Br (0.000, 0.000, 0.500) (multiplicity 4)
O (0.250, 0.250, 0.250) (multiplicity 8)



# 6
Computed, not measured: a relaxed structure of MoCF2 at the PBEsol level of DFT.

Properties
Raw formation energy (eV/atom): -0.254

Unit cell a=3.122 b=3.122 c=15.303 alpha=90.00 beta=90.00 gamma=90.00
Space group I-42d (No. 122)
Unique sites:
Mo (0.000, 0.000, 0.000) (multiplicity 4)
C (0.000, 0.000, 0.500) (multiplicity 4)
F (0.232, 0.250, 0.125) (multiplicity 8)



# 7
Computed, not measured: a relaxed structure of KCdIn at the PBEsol level of DFT.

Properties
Formation enthalpy at 0 K (kcal/mol of atoms): -2.45
Offset from the most stable computed form (meV/atom): 0

Unit cell a=5.100 b=8.313 c=8.563 alpha=90.00 beta=90.00 gamma=90.00
Space group Ima2 (No. 46)
Unique sites:
K (0.250, 0.177, 0.000) (multiplicity 4)
Cd (0.250, 0.591, 0.173) (multiplicity 4)
In (0.250, 0.589, 0.826) (multiplicity 4)



# 8
Computed, not measured: a relaxed structure of TiCrSb2Os at the PBEsol level of DFT.

Properties
Raw formation energy (eV/atom): 1.061

Unit cell a=4.849 b=4.849 c=4.449 alpha=90.00 beta=90.00 gamma=90.00
Space group P4/mmm (No. 123)
Unique sites:
Ti (0.000, 0.000, 0.000) (multiplicity 1)
Cr (0.500, 0.500, 0.500) (multiplicity 1)
Sb (0.000, 0.500, 0.500) (multiplicity 2)
Os (0.500, 0.500, 0.000) (multiplicity 1)



Spin magnetization, record by record: 0.00; 0.00; 0.00; 0.00; 0.01; 0.00; 0.00; 2.35 Bohr magnetons per cell